# YHgPdF2

Crystalline YHgPdF2 at its relaxed geometry (GGA-PBE, Alexandria via LeMat-Bulk).

Unit cell a=4.2578 b=5.8559 c=4.2578 alpha=90.00 beta=90.00 gamma=90.00
Fractional positions:
Y: 0.0000 0.0000 0.0000
Hg: 0.5000 0.5000 0.5000
Pd: 0.0000 0.5000 0.0000
F: 0.0000 0.0000 0.5000
F: 0.5000 0.0000 0.0000

Summary:
* formation energy without anion corrections: -2091 meV per atom
* calculated total energy: -5.23 eV/atom
* volume: 21.23 Å³/atom